A plane-wave DFT calculation with GGA-PBE was carried out for NdSbAs after structural relaxation.

```
NdSbAs
1.0
7.185 0.000 0.000
0.000 7.185 0.000
0.000 0.000 7.185
Nd Sb As
4 4 4
Direct
0.000 0.000 0.000
0.000 0.500 0.500
0.500 0.000 0.500
0.500 0.500 0.000
0.250 0.250 0.750
0.250 0.750 0.250
0.750 0.250 0.250
0.750 0.750 0.750
0.000 0.000 0.500
0.000 0.500 0.000
0.500 0.000 0.000
0.500 0.500 0.500
```

Summary:
- E_tot: -57.418 eV/cell
- Symmetry: F-43m
- Magnetic moment: 0.02 μB per formula unit